First-principles (PBE) data for an optimized crystal structure of GdYZnIr, as listed in Alexandria via LeMat-Bulk.

Unit cell a=4.9596 b=4.9596 c=4.9596 alpha=60.00 beta=60.00 gamma=60.00
Site moments in Bohr magnetons follow the coordinates.
Fractional coordinates of all 4 atoms:
Y1 0.2500 0.2500 0.2500  0.00
Ir1 0.0000 0.0000 0.0000  -0.04
Zn1 0.5000 0.5000 0.5000  0.00
Gd1 0.7500 0.7500 0.7500  7.00

Results
The total magnetic moment is 7.08 μB/cell. For the calculated formation energy, the calculation gives -2.4 eV per formula unit. Its crystal system is cubic. The density of states at the Fermi level comes out at 0.67 states/eV/atom.

***

First-principles (PBE) data for an optimized crystal structure of GdZnIr, as listed in Alexandria via LeMat-Bulk.

Unit cell a=3.4003 b=3.4003 c=5.5460 alpha=107.85 beta=107.85 gamma=90.00
Site moments in Bohr magnetons follow the coordinates.
Fractional coordinates of all 3 atoms:
Ir1 0.6344 0.6344 0.2688  -0.20
Zn1 0.2553 0.2553 0.5105  0.00
Gd1 0.9604 0.9604 0.9207  7.00

Results
The total magnetic moment is 6.92 μB/cell. For the calculated formation energy, the calculation gives -1.3 eV per formula unit. Its crystal system is tetragonal. The density of states at the Fermi level comes out at 0.58 states/eV/atom.

***

First-principles (PBE) data for an optimized crystal structure of GdZnIr4, as listed in Alexandria via LeMat-Bulk.

Unit cell a=5.2820 b=5.2820 c=5.2820 alpha=60.00 beta=60.00 gamma=60.00
Site moments in Bohr magnetons follow the coordinates.
Fractional coordinates of all 6 atoms:
Zn1 0.0000 0.0000 0.0000  0.00
Ir1 0.1236 0.6255 0.6255  0.08
Ir2 0.6255 0.1236 0.6255  0.08
Ir3 0.6255 0.6255 0.1236  0.08
Ir4 0.6255 0.6255 0.6255  0.08
Gd1 0.2500 0.2500 0.2500  -6.96

Results
The total magnetic moment is 6.74 μB/cell. For the calculated formation energy, the calculation gives -1.9 eV per formula unit. Its crystal system is cubic. The density of states at the Fermi level comes out at 1.32 states/eV/atom.

***

First-principles (PBE) data for an optimized crystal structure of GdZnIr, as listed in Alexandria via LeMat-Bulk.

Unit cell a=3.6258 b=4.3825 c=4.3825 alpha=120.00 beta=90.00 gamma=90.00
Site moments in Bohr magnetons follow the coordinates.
Fractional coordinates of all 3 atoms:
Zn1 0.1669 0.6667 0.3333  -0.01
Gd1 0.6666 0.3333 0.6667  -6.98
Ir1 0.1666 0.0000 0.0000  0.09

Results
The total magnetic moment is 7.03 μB/cell. For the calculated formation energy, the calculation gives -1.7 eV per formula unit. Its crystal system is hexagonal. The density of states at the Fermi level comes out at 0.54 states/eV/atom.

***

First-principles (PBE) data for an optimized crystal structure of GdZrZnIr, as listed in Alexandria via LeMat-Bulk.

Unit cell a=4.8378 b=4.8378 c=4.8378 alpha=60.00 beta=60.00 gamma=60.00
Site moments in Bohr magnetons follow the coordinates.
Fractional coordinates of all 4 atoms:
Zn1 0.2500 0.2500 0.2500  0.00
Gd1 0.5000 0.5000 0.5000  7.03
Ir1 0.7500 0.7500 0.7500  -0.03
Zr1 0.0000 0.0000 0.0000  0.09

Results
The total magnetic moment is 7.26 μB/cell. For the calculated formation energy, the calculation gives -1.9 eV per formula unit. Its crystal system is cubic. The density of states at the Fermi level comes out at 0.79 states/eV/atom.

***

First-principles (PBE) data for an optimized crystal structure of GdZrIr4, as listed in Alexandria via LeMat-Bulk.

Unit cell a=5.3178 b=5.3178 c=5.3178 alpha=60.00 beta=60.00 gamma=60.00
Site moments in Bohr magnetons follow the coordinates.
Fractional coordinates of all 6 atoms:
Zr1 0.2500 0.2500 0.2500  0.04
Ir1 0.6251 0.6251 0.6251  -0.02
Ir2 0.6251 0.6251 0.1247  -0.02
Ir3 0.1247 0.6251 0.6251  -0.02
Ir4 0.6251 0.1247 0.6251  -0.02
Gd1 0.0000 0.0000 0.0000  6.99

Results
The total magnetic moment is 7.06 μB/cell. For the calculated formation energy, the calculation gives -4.2 eV per formula unit. Its crystal system is cubic. The density of states at the Fermi level comes out at 0.54 states/eV/atom.